No. 1
## SrAc4Pr7 (PBE)

Data for a relaxed SrAc4Pr7 crystal.

Properties
E_tot, eV per atom: -4.24
Space group: P-1
V, Å³/f.u.: 483.8

Cell lengths 7.6924, 9.6213, 10.2299 Å; angles 81.32, 41.05, 90.07 degrees
Last column: nearest neighbours and their distance in Å.
Element x y z (fractional)
1 Sr 0.0000 0.0000 0.0000  10 Pr 3.85-3.91, 2 Ac 3.85
2 Ac 0.5365 0.3340 0.7137  8 Pr 3.79-3.94, 1 Sr 3.85, 3 Ac 3.86-3.91
3 Ac 0.4635 0.6660 0.2863  8 Pr 3.79-3.94, 1 Sr 3.85, 3 Ac 3.86-3.91
4 Ac 0.7175 0.6751 0.7803  8 Pr 3.74-3.92, 4 Ac 3.86-3.93
5 Ac 0.2825 0.3249 0.2197  8 Pr 3.74-3.92, 4 Ac 3.86-3.93
6 Pr 0.7581 0.9964 0.4963  3 Ac 3.74-3.86, 7 Pr 3.76-3.92, 2 Sr 3.87-3.91
7 Pr 0.2419 0.0036 0.5037  3 Ac 3.74-3.86, 7 Pr 3.76-3.92, 2 Sr 3.87-3.91
8 Pr 0.9704 0.6673 0.2834  5 Pr 3.76-3.96, 6 Ac 3.79-3.92, 1 Sr 3.86
9 Pr 0.0296 0.3327 0.7166  5 Pr 3.76-3.96, 6 Ac 3.79-3.92, 1 Sr 3.86
10 Pr 0.2246 0.6604 0.7747  5 Ac 3.79-3.94, 6 Pr 3.79-3.96, 1 Sr 3.91
11 Pr 0.5000 0.0000 0.0000  4 Ac 3.75-3.86, 6 Pr 3.82-3.89, 2 Sr 3.85
12 Pr 0.7754 0.3396 0.2253  5 Ac 3.79-3.94, 6 Pr 3.79-3.96, 1 Sr 3.91

No. 2
## SrAc6Pr2 (PBE)

Data for a relaxed SrAc6Pr2 crystal.

Properties
E_tot, eV per atom: -3.52
Space group: P-31m
V, Å³/f.u.: 481.7

Cell lengths 6.6701, 6.6701, 12.5024 Å; angles 90.00, 90.00, 120.00 degrees
Last column: nearest neighbours and their distance in Å.
Element x y z (fractional)
1 Sr 0.0000 0.0000 0.0000  6 Ac 4.00
2 Ac 0.3320 0.3320 0.7338  2 Pr 3.68, 6 Ac 3.84-3.86, 1 Sr 4.00
3 Ac 0.6680 0.0000 0.7338  2 Pr 3.68, 6 Ac 3.84-3.86, 1 Sr 4.00
4 Ac 0.0000 0.6680 0.7338  2 Pr 3.68, 6 Ac 3.84-3.86, 1 Sr 4.00
5 Ac 0.3320 0.0000 0.2662  2 Pr 3.68, 6 Ac 3.84-3.86, 1 Sr 4.00
6 Ac 0.0000 0.3320 0.2662  2 Pr 3.68, 6 Ac 3.84-3.86, 1 Sr 4.00
7 Ac 0.6680 0.6680 0.2662  2 Pr 3.68, 6 Ac 3.84-3.86, 1 Sr 4.00
8 Pr 0.6667 0.3333 0.5000  6 Ac 3.68, 3 Pr 3.85
9 Pr 0.3333 0.6667 0.5000  6 Ac 3.68, 3 Pr 3.85

No. 3
## Sr2AcPr (PBE)

Data for a relaxed Sr2AcPr crystal.

Properties
E_tot, eV per atom: -3.00
Energy relative to the lowest polymorph listed for this composition, meV per atom: 0
Space group: R3m
V, Å³/f.u.: 186.5

Cell lengths 4.0383, 4.0383, 13.4064 Å; angles 81.34, 81.34, 60.00 degrees
Last column: nearest neighbours and their distance in Å.
Element x y z (fractional)
1 Sr 0.8380 0.8380 0.4859  9 Sr 4.04-4.26, 3 Ac 4.18
2 Sr 0.4146 0.4146 0.7562  3 Pr 3.99, 9 Sr 4.04-4.26
3 Ac 0.2589 0.2589 0.2233  3 Pr 3.74, 6 Ac 4.04, 3 Sr 4.18
4 Pr 0.9995 0.9995 0.0016  3 Ac 3.74, 3 Sr 3.99, 6 Pr 4.04

No. 4
## SrAcPr (PBE)

Data for a relaxed SrAcPr crystal.

Properties
E_tot, eV per atom: -3.27
Energy relative to the lowest polymorph listed for this composition, meV per atom: 198
Space group: P4/nmm
V, Å³/f.u.: 136.7

Cell lengths 5.3152, 5.3152, 9.6748 Å; angles 90.00, 90.00, 90.00 degrees
Last column: nearest neighbours and their distance in Å.
Element x y z (fractional)
1 Pr 0.0000 0.5000 0.7323  4 Ac 3.71, 5 Sr 3.80-3.82
2 Pr 0.5000 0.0000 0.2677  4 Ac 3.71, 5 Sr 3.80-3.82
3 Ac 0.5000 0.5000 0.0000  4 Pr 3.71, 4 Ac 3.76
4 Ac 0.0000 0.0000 0.0000  4 Pr 3.71, 4 Ac 3.76
5 Sr 0.5000 0.0000 0.6610  5 Pr 3.80-3.82, 4 Ac 4.22
6 Sr 0.0000 0.5000 0.3390  5 Pr 3.80-3.82, 4 Ac 4.22

No. 5
## SrAc2Pr2 (PBE)

Data for a relaxed SrAc2Pr2 crystal.

Properties
E_tot, eV per atom: -3.85
Space group: Cmmm
V, Å³/f.u.: 216.3

Cell lengths 9.8230, 9.8230, 3.8641 Å; angles 90.00, 90.00, 144.53 degrees
Last column: nearest neighbours and their distance in Å.
Element x y z (fractional)
1 Sr 0.0000 0.0000 0.5000  2 Pr 3.79, 2 Sr 3.86, 8 Ac 4.22
2 Ac 0.3792 0.6208 0.0000  6 Pr 3.83-3.88, 2 Ac 3.86, 4 Sr 4.22
3 Ac 0.6208 0.3792 0.0000  6 Pr 3.83-3.88, 2 Ac 3.86, 4 Sr 4.22
4 Pr 0.2025 0.7975 0.5000  4 Pr 3.48-3.86, 1 Sr 3.79, 6 Ac 3.83-3.88
5 Pr 0.7975 0.2025 0.5000  4 Pr 3.48-3.86, 1 Sr 3.79, 6 Ac 3.83-3.88

No. 6
## SrAc4Pr2 (PBE)

Data for a relaxed SrAc4Pr2 crystal.

Properties
E_tot, eV per atom: -3.92
Space group: R-3m
V, Å³/f.u.: 303.5

Cell lengths 3.9458, 3.9458, 22.6207 Å; angles 85.00, 85.00, 60.00 degrees
Last column: nearest neighbours and their distance in Å.
Element x y z (fractional)
1 Sr 0.0000 0.0000 0.0000  6 Sr 3.95, 6 Ac 4.15
2 Ac 0.8576 0.8576 0.4273  3 Pr 3.86, 9 Ac 3.95-3.99
3 Ac 0.7180 0.7180 0.8459  3 Pr 3.79, 6 Ac 3.95, 3 Sr 4.15
4 Ac 0.2820 0.2820 0.1541  3 Pr 3.79, 6 Ac 3.95, 3 Sr 4.15
5 Ac 0.1424 0.1424 0.5727  3 Pr 3.86, 9 Ac 3.95-3.99
6 Pr 0.5704 0.5704 0.2888  6 Ac 3.79-3.86, 6 Pr 3.95
7 Pr 0.4296 0.4296 0.7112  6 Ac 3.79-3.86, 6 Pr 3.95